Entry 1:
Computed, not measured: a relaxed structure of BaW3 at the GGA-PBE level of DFT.

Its density of states at the Fermi level is 4.54 states/eV/cell. The calculation puts the theoretical density at 12.22 g/cm3. The total magnetic moment comes out at 0.0 Bohr magnetons per cell. For the total energy, the calculation gives -9.28 eV per atom. For the energy relative to the lowest polymorph listed for this composition, the calculation gives 0.0 kJ/mol of formula units.

The space group is Pmmm (No. 47) and the conventional cell measures 3.406, 3.443 and 7.982 Å, with angles of 90.00, 90.00 and 90.00 degrees. The distinct sites, in fractional coordinates, are Ba at (0.000, 0.000, 0.000), W at (0.000, 0.000, 0.500) and W at (0.500, 0.500, 0.345).

Entry 2:
Computed, not measured: a relaxed structure of BaW3 at the GGA-PBE level of DFT.

Its density of states at the Fermi level is 9.96 states/eV/cell. The calculation puts the theoretical density at 14.66 g/cm3. The total magnetic moment comes out at 0.0 Bohr magnetons per cell. For the total energy, the calculation gives -8.66 eV per atom. For the energy relative to the lowest polymorph listed for this composition, the calculation gives 240.2 kJ/mol of formula units.

The space group is R-3m (No. 166, hexagonal axes) and the conventional cell measures 9.7326, 9.7326 and 2.8541 Å, with angles of 90.00, 90.00 and 120.00 degrees. The distinct sites, in fractional coordinates, are Ba at (0.0000, 0.0000, 0.0000) and W at (0.0000, 0.5000, 0.0000).

Entry 3:
Computed, not measured: a relaxed structure of Ba2W at the GGA-PBE level of DFT.

Its density of states at the Fermi level is 13.49 states/eV/cell. The calculation puts the theoretical density at 6.07 g/cm3. The total magnetic moment comes out at 0.0 Bohr magnetons per cell. For the total energy, the calculation gives -4.74 eV per atom. For the energy relative to the lowest polymorph listed for this composition, the calculation gives 51.6 kJ/mol of formula units.

The space group is Cmcm (No. 63) and the conventional cell measures 3.721, 32.948 and 4.090 Å, with angles of 90.00, 90.00 and 90.00 degrees. The distinct sites, in fractional coordinates, are Ba at (0.000, 0.079, 0.250), Ba at (0.000, 0.196, 0.750) and W at (0.000, 0.479, 0.250).

Entry 4:
Computed, not measured: a relaxed structure of BaW at the GGA-PBE level of DFT.

Its density of states at the Fermi level is 1.73 states/eV/cell. The calculation puts the theoretical density at 10.40 g/cm3. The total magnetic moment comes out at 0.0 Bohr magnetons per cell. For the total energy, the calculation gives -5.74 eV per atom. For the energy relative to the lowest polymorph listed for this composition, the calculation gives 178.5 kJ/mol of formula units.

The space group is P4/mmm (No. 123) and the conventional cell measures 2.992, 2.992 and 5.728 Å, with angles of 90.00, 90.00 and 90.00 degrees. The distinct sites, in fractional coordinates, are Ba at (0.000, 0.000, 0.000) and W at (0.500, 0.500, 0.500).

Entry 5:
Computed, not measured: a relaxed structure of Ba3W at the GGA-PBE level of DFT.

Its density of states at the Fermi level is 23.98 states/eV/cell. The calculation puts the theoretical density at 4.59 g/cm3. The total magnetic moment comes out at 0.0 Bohr magnetons per cell. For the total energy, the calculation gives -4.06 eV per atom. For the energy relative to the lowest polymorph listed for this composition, the calculation gives 0.0 kJ/mol of formula units.

The space group is Cmcm (No. 63) and the conventional cell measures 12.679, 15.295 and 4.445 Å, with angles of 90.00, 90.00 and 90.00 degrees. The distinct sites, in fractional coordinates, are Ba at (0.000, 0.124, 0.250), Ba at (0.182, 0.376, 0.250) and W at (0.000, 0.469, 0.750).

Entry 6:
Computed, not measured: a relaxed structure of BaW at the GGA-PBE level of DFT.

Its density of states at the Fermi level is 5.98 states/eV/cell. The calculation puts the theoretical density at 10.47 g/cm3. The total magnetic moment comes out at 0.0 Bohr magnetons per cell. For the total energy, the calculation gives -5.53 eV per atom. For the energy relative to the lowest polymorph listed for this composition, the calculation gives 217.7 kJ/mol of formula units.

The space group is P6_3mc (No. 186) and the conventional cell measures 3.1080, 3.1080 and 12.1759 Å, with angles of 90.00, 90.00 and 120.00 degrees. The distinct sites, in fractional coordinates, are Ba at (0.3333, 0.6667, 0.0000) and W at (0.3333, 0.6667, 0.2621).

Entry 7:
Computed, not measured: a relaxed structure of Ba3W at the GGA-PBE level of DFT.

Its density of states at the Fermi level is 9.08 states/eV/cell. The calculation puts the theoretical density at 6.11 g/cm3. The total magnetic moment comes out at 4.8 Bohr magnetons per cell. For the total energy, the calculation gives -3.57 eV per atom. For the energy relative to the lowest polymorph listed for this composition, the calculation gives 189.1 kJ/mol of formula units.

The space group is P6_3/mmc (No. 194) and the conventional cell measures 8.0662, 8.0662 and 5.7467 Å, with angles of 90.00, 90.00 and 120.00 degrees. The distinct sites, in fractional coordinates, are Ba at (0.1816, 0.3633, 0.2500) and W at (0.3333, 0.6667, 0.7500).

Entry 8:
Computed, not measured: a relaxed structure of Ba2W at the GGA-PBE level of DFT.

Its density of states at the Fermi level is 5.87 states/eV/cell. The calculation puts the theoretical density at 7.49 g/cm3. The total magnetic moment comes out at 0.0 Bohr magnetons per cell. For the total energy, the calculation gives -4.30 eV per atom. For the energy relative to the lowest polymorph listed for this composition, the calculation gives 177.6 kJ/mol of formula units.

The space group is I4/mmm (No. 139) and the conventional cell measures 3.392, 3.392 and 17.674 Å, with angles of 90.00, 90.00 and 90.00 degrees. The distinct sites, in fractional coordinates, are Ba at (0.000, 0.000, 0.135) and W at (0.000, 0.000, 0.500).

Which formula does entry 3 have?
Ba2W

Repeat the seventh record exactly.
Computed, not measured: a relaxed structure of Ba3W at the GGA-PBE level of DFT.

Its density of states at the Fermi level is 9.08 states/eV/cell. The calculation puts the theoretical density at 6.11 g/cm3. The total magnetic moment comes out at 4.8 Bohr magnetons per cell. For the total energy, the calculation gives -3.57 eV per atom. For the energy relative to the lowest polymorph listed for this composition, the calculation gives 189.1 kJ/mol of formula units.

The space group is P6_3/mmc (No. 194) and the conventional cell measures 8.0662, 8.0662 and 5.7467 Å, with angles of 90.00, 90.00 and 120.00 degrees. The distinct sites, in fractional coordinates, are Ba at (0.1816, 0.3633, 0.2500) and W at (0.3333, 0.6667, 0.7500).

theoretical density of number 3 (Ba2W)?
6.07 g/cm3

The highest total magnetic moment belongs to which entry?
number 7